Record 1
This record from the Alexandria database describes NaCa2LaH after structural relaxation. The functional is GGA-PBE.

Calculated values
V: 153.77 Å³/cell
E: -2.744 eV per atom
Space group: P4/mmm, No. 123

The structure in CIF format:
```
data_NaCa2LaH
_chemical_formula_sum 'Na1 Ca2 La1 H1'
_cell_length_a 5.697
_cell_length_b 5.697
_cell_length_c 4.737
_cell_angle_alpha 90.00
_cell_angle_beta 90.00
_cell_angle_gamma 90.00
_symmetry_space_group_name_H-M 'P 1'
_symmetry_Int_Tables_number 1
loop_
_symmetry_equiv_pos_as_xyz
'x,y,z'
loop_
_atom_site_label
_atom_site_fract_x
_atom_site_fract_y
_atom_site_fract_z
_atom_site_occupancy
Na1 0.500 0.500 0.500 1
Ca1 0.000 0.500 0.000 1
Ca2 0.500 0.000 0.000 1
H1 0.000 0.000 0.000 1
La1 0.000 0.000 0.500 1
```

---

Record 2
This record from the Alexandria database describes Ca2LaNbH after structural relaxation. The functional is GGA-PBE.

Calculated values
V: 178.71 Å³/cell
E: -3.517 eV per atom
Space group: P4/mmm, No. 123

The structure in CIF format:
```
data_Ca2LaNbH
_chemical_formula_sum 'Ca2 La1 Nb1 H1'
_cell_length_a 5.804
_cell_length_b 5.305
_cell_length_c 5.804
_cell_angle_alpha 90.00
_cell_angle_beta 90.00
_cell_angle_gamma 90.00
_symmetry_space_group_name_H-M 'P 1'
_symmetry_Int_Tables_number 1
loop_
_symmetry_equiv_pos_as_xyz
'x,y,z'
loop_
_atom_site_label
_atom_site_fract_x
_atom_site_fract_y
_atom_site_fract_z
_atom_site_occupancy
Ca1 0.500 0.000 0.000 1
Ca2 0.000 0.000 0.500 1
H1 0.500 0.500 0.500 1
Nb1 0.000 0.000 0.000 1
La1 0.000 0.500 0.000 1
```

---

Record 3
This record from the Alexandria database describes CaLaNi2H8 after structural relaxation. The functional is GGA-PBE.

Calculated values
V: 117.95 Å³/cell
E: -4.005 eV per atom
Space group: R-3m, No. 166

The structure in CIF format:
```
data_CaLaNi2H8
_chemical_formula_sum 'Ca1 La1 Ni2 H8'
_cell_length_a 4.628
_cell_length_b 4.628
_cell_length_c 6.899
_cell_angle_alpha 70.40
_cell_angle_beta 70.40
_cell_angle_gamma 60.00
_symmetry_space_group_name_H-M 'P 1'
_symmetry_Int_Tables_number 1
loop_
_symmetry_equiv_pos_as_xyz
'x,y,z'
loop_
_atom_site_label
_atom_site_fract_x
_atom_site_fract_y
_atom_site_fract_z
_atom_site_occupancy
H1 0.451 0.451 0.173 1
H2 0.451 0.926 0.173 1
H3 0.074 0.549 0.827 1
H4 0.153 0.153 0.540 1
H5 0.549 0.074 0.827 1
H6 0.847 0.847 0.460 1
H7 0.549 0.549 0.827 1
H8 0.926 0.451 0.173 1
Ca1 0.000 0.000 0.000 1
Ni1 0.762 0.762 0.714 1
Ni2 0.238 0.238 0.286 1
La1 0.500 0.500 0.500 1
```